a.
AgWIO2 | PBE+U | optimized geometry

Unit cell a=3.955 b=3.955 c=7.464 alpha=90.00 beta=90.00 gamma=90.00
Each line ends with the local moment (μB).
Positions (direct):
I: 0.000 0.000 0.500  0.05
O: 0.000 0.500 0.000  -0.16
O: 0.500 0.000 0.000  -0.16
Ag: 0.500 0.500 0.500  0.00
W: 0.000 0.000 0.000  1.87

**DOS(E_F)**: 1.3 states/eV per cell
**ρ**: 6.41 g/cm3

b.
AgWIO2 | PBE+U | optimized geometry

Unit cell a=4.244 b=4.244 c=5.426 alpha=90.00 beta=90.00 gamma=90.00
Each line ends with the local moment (μB).
Positions (direct):
O: 0.500 0.000 0.000  -0.17
O: 0.000 0.500 0.000  -0.17
Ag: 0.000 0.000 0.000  -0.02
I: 0.000 0.000 0.500  -0.05
W: 0.500 0.500 0.500  3.42

**DOS(E_F)**: 3.0 states/eV per cell
**ρ**: 7.65 g/cm3

Result of the stability comparison: b is the least stable of them.

a.
AgWI2O | PBE+U | optimized geometry

Unit cell a=5.956 b=5.956 c=3.889 alpha=90.00 beta=90.00 gamma=90.00
Each line ends with the local moment (μB).
Positions (direct):
O: 0.000 0.000 0.500  -0.21
I: 0.500 0.000 0.000  -0.01
I: 0.000 0.500 0.000  -0.01
Ag: 0.500 0.500 0.500  0.01
W: 0.000 0.000 0.000  2.53

**DOS(E_F)**: 0.7 states/eV per cell
**ρ**: 6.76 g/cm3

b.
AgWI2O | PBE+U | optimized geometry

Unit cell a=5.760 b=5.760 c=4.000 alpha=90.00 beta=90.00 gamma=90.00
Each line ends with the local moment (μB).
Positions (direct):
O: 0.000 0.000 0.500  -0.40
I: 0.000 0.500 0.000  -0.12
I: 0.500 0.000 0.000  -0.12
W: 0.500 0.500 0.500  3.68
Ag: 0.000 0.000 0.000  -0.13

**DOS(E_F)**: 4.8 states/eV per cell
**ρ**: 7.02 g/cm3

Result of the stability comparison: b is the least stable of them.